An optimized crystal structure of La2CdCu3Sn4. Source: Alexandria via LeMat-Bulk, functional PBE.

Output
Total moment   0.000 μB per atom
Total energy   -4.349 eV/atom

Lattice parameters (Å, degrees): 4.5162 4.5162 11.3109 90.00 90.00 90.00
Atoms (fractional coordinates):
Cu 0.5000 0.0000 0.8707
La 0.5000 0.0000 0.2471
Cu 0.0000 0.0000 0.5000
Sn 0.0000 0.0000 0.0000
Sn 0.5000 0.5000 0.0000
La 0.0000 0.5000 0.7529
Sn 0.5000 0.0000 0.6458
Cu 0.0000 0.5000 0.1293
Cd 0.5000 0.5000 0.5000
Sn 0.0000 0.5000 0.3542